MnCo2H4 (PBE-GGA, relaxed); theoretical density = 6.65 g/cm3; total magnetization = 9.62 Bohr magnetons per cell; E_tot = -5.231 eV per atom; space group = No. 63; density of states at the Fermi level = 0.472 states/eV per atom
1.0
-1.249 -2.118 1.009
1.725 -1.278 -4.047
6.418 -2.158 3.418
Co H Mn
4 8 2
Cartesian
3.732 -3.955 -0.180
3.162 -1.599 0.560
0.646 -0.753 -0.780
6.248 -4.801 1.160
6.151 -3.026 1.266
5.174 -4.769 -0.102
0.743 -2.528 -0.885
2.584 -2.138 2.213
2.346 -3.067 -0.032
4.548 -2.487 0.412
1.720 -0.785 0.482
-0.625 -1.059 0.504
4.389 -3.103 2.424
2.505 -2.451 -2.043